First-principles (PBE) data for an optimized crystal structure of Sc3AlIn2, as listed in Alexandria via LeMat-Bulk.

```
Sc3AlIn2
1.0
3.154 0.000 0.000
0.000 3.154 0.000
0.000 0.000 12.938
Sc Al In
3 1 2
direct
0.000 0.000 0.000
0.000 0.000 0.348
0.000 0.000 0.652
0.500 0.500 0.500
0.500 0.500 0.172
0.500 0.500 0.828
```

energy relative to the elements	-0.44	eV per atom